Entry 1:
The following is a PBE calculation of a geometry-optimized Tb3AlGa2 structure, from Alexandria.

Lattice parameters (Å, degrees): 4.450 11.092 11.766 90.00 90.00 90.00
Fractional positions:
Tb (0.250, 0.372, 0.049)
Tb (0.750, 0.628, 0.951)
Tb (0.750, 0.872, 0.451)
Tb (0.250, 0.128, 0.549)
Tb (0.250, 0.682, 0.207)
Tb (0.750, 0.318, 0.793)
Tb (0.750, 0.182, 0.293)
Tb (0.250, 0.818, 0.707)
Tb (0.250, 0.415, 0.358)
Tb (0.750, 0.585, 0.642)
Tb (0.750, 0.915, 0.142)
Tb (0.250, 0.085, 0.858)
Al (0.250, 0.107, 0.126)
Al (0.750, 0.893, 0.874)
Al (0.750, 0.607, 0.374)
Al (0.250, 0.393, 0.626)
Ga (0.250, 0.669, 0.484)
Ga (0.750, 0.331, 0.516)
Ga (0.750, 0.169, 0.016)
Ga (0.250, 0.831, 0.984)
Ga (0.250, 0.980, 0.315)
Ga (0.750, 0.020, 0.685)
Ga (0.750, 0.480, 0.185)
Ga (0.250, 0.520, 0.815)

Properties
Energy of formation from the pure elements   -0.51 eV/atom
Energy above the most stable polymorph in this dataset   0.05 eV per formula unit
Symmetry   Pnma (62)

Entry 2:
The following is a PBE calculation of a geometry-optimized Tb5Al2Ga2 structure, from Alexandria.

Lattice parameters (Å, degrees): 7.423 8.073 8.805 117.29 90.00 90.00
Fractional positions:
Tb (0.000, 0.000, 0.000)
Tb (0.500, 0.500, 0.000)
Tb (0.830, 0.830, 0.286)
Tb (0.170, 0.456, 0.286)
Tb (0.330, 0.956, 0.286)
Tb (0.670, 0.330, 0.286)
Tb (0.170, 0.170, 0.714)
Tb (0.830, 0.544, 0.714)
Tb (0.670, 0.044, 0.714)
Tb (0.330, 0.670, 0.714)
Al (0.612, 0.876, 0.000)
Al (0.388, 0.124, 0.000)
Al (0.112, 0.624, 0.000)
Al (0.888, 0.376, 0.000)
Ga (0.000, 0.209, 0.417)
Ga (0.500, 0.709, 0.417)
Ga (0.000, 0.791, 0.583)
Ga (0.500, 0.291, 0.583)

Properties
Energy of formation from the pure elements   -0.40 eV/atom
Symmetry   Cmce (64)

Entry 3:
The following is a PBE calculation of a geometry-optimized Tb3Al6Ga5 structure, from Alexandria.

Lattice parameters (Å, degrees): 4.225 9.948 12.836 90.00 90.00 90.00
Fractional positions:
Tb (0.000, 0.249, 0.678)
Tb (0.500, 0.751, 0.178)
Tb (0.500, 0.751, 0.822)
Tb (0.000, 0.260, 0.000)
Tb (0.500, 0.740, 0.500)
Tb (0.000, 0.249, 0.322)
Al (0.000, 0.986, 0.851)
Al (0.500, 0.014, 0.649)
Al (0.500, 0.390, 0.830)
Al (0.500, 0.539, 0.000)
Al (0.000, 0.461, 0.500)
Al (0.000, 0.610, 0.670)
Al (0.000, 0.610, 0.330)
Al (0.500, 0.978, 0.000)
Al (0.000, 0.986, 0.149)
Al (0.500, 0.390, 0.170)
Al (0.000, 0.022, 0.500)
Al (0.500, 0.014, 0.351)
Ga (0.000, 0.532, 0.866)
Ga (0.000, 0.864, 0.664)
Ga (0.000, 0.779, 0.000)
Ga (0.500, 0.468, 0.634)
Ga (0.500, 0.221, 0.500)
Ga (0.000, 0.532, 0.134)
Ga (0.500, 0.468, 0.366)
Ga (0.000, 0.864, 0.336)
Ga (0.500, 0.136, 0.836)
Ga (0.500, 0.136, 0.164)

Properties
Energy of formation from the pure elements   -0.42 eV/atom
Symmetry   Pmmn (59)

Entry 4:
The following is a PBE calculation of a geometry-optimized Tb8AlGa2 structure, from Alexandria.

Lattice parameters (Å, degrees): 5.048 6.867 9.359 101.87 105.64 90.00
Fractional positions:
Tb (0.409, 0.541, 0.817)
Tb (0.663, 0.961, 0.326)
Tb (0.801, 0.693, 0.601)
Tb (0.974, 0.239, 0.948)
Tb (0.199, 0.307, 0.399)
Tb (0.337, 0.039, 0.674)
Tb (0.591, 0.459, 0.183)
Tb (0.026, 0.761, 0.052)
Al (0.500, 0.000, 0.000)
Ga (0.807, 0.264, 0.615)
Ga (0.193, 0.736, 0.385)

Properties
Energy of formation from the pure elements   -0.26 eV/atom
Symmetry   C2/m (12)

Entry 5:
The following is a PBE calculation of a geometry-optimized Tb6Al2Ga structure, from Alexandria.

Lattice parameters (Å, degrees): 5.037 7.126 8.722 114.11 106.75 90.00
Fractional positions:
Tb (0.165, 0.414, 0.331)
Tb (0.835, 0.083, 0.669)
Tb (0.835, 0.586, 0.669)
Tb (0.500, 0.247, 0.000)
Tb (0.165, 0.917, 0.331)
Tb (0.500, 0.753, 0.000)
Al (0.666, 0.666, 0.332)
Al (0.334, 0.334, 0.668)
Ga (0.000, 0.000, 0.000)

Properties
Energy of formation from the pure elements   -0.10 eV/atom
Energy above the most stable polymorph in this dataset   1.77 eV per formula unit
Symmetry   Immm (71)

Entry 6:
The following is a PBE calculation of a geometry-optimized Tb6Al2Ga structure, from Alexandria.

Lattice parameters (Å, degrees): 8.629 8.629 8.629 108.40 110.85 109.16
Fractional positions:
Tb (0.564, 0.739, 0.825)
Tb (0.436, 0.261, 0.175)
Tb (0.086, 0.261, 0.825)
Tb (0.914, 0.739, 0.175)
Tb (0.804, 0.747, 0.551)
Tb (0.196, 0.253, 0.449)
Tb (0.196, 0.747, 0.943)
Tb (0.804, 0.253, 0.057)
Tb (0.718, 0.392, 0.674)
Tb (0.282, 0.608, 0.326)
Tb (0.282, 0.955, 0.674)
Tb (0.718, 0.045, 0.326)
Al (0.500, 0.372, 0.872)
Al (0.500, 0.628, 0.128)
Al (0.638, 0.000, 0.638)
Al (0.362, 0.000, 0.362)
Ga (0.000, 0.500, 0.500)
Ga (0.000, 0.000, 0.000)

Properties
Energy of formation from the pure elements   -0.29 eV/atom
Energy above the most stable polymorph in this dataset   0.00 eV per formula unit
Symmetry   Immm (71)

Entry 7:
The following is a PBE calculation of a geometry-optimized Tb2AlGa structure, from Alexandria.

Lattice parameters (Å, degrees): 3.596 3.596 7.233 90.00 90.00 90.00
Fractional positions:
Tb (0.000, 0.000, 0.753)
Tb (0.000, 0.000, 0.247)
Al (0.500, 0.500, 0.500)
Ga (0.500, 0.500, 0.000)

Properties
Energy of formation from the pure elements   -0.49 eV/atom
Symmetry   P4/mmm (123)

Entry 8:
The following is a PBE calculation of a geometry-optimized Tb2AlGa3 structure, from Alexandria.

Lattice parameters (Å, degrees): 5.876 5.876 8.447 109.20 109.20 93.11
Fractional positions:
Tb (0.250, 0.750, 0.500)
Tb (0.753, 0.753, 0.000)
Tb (0.750, 0.250, 0.500)
Tb (0.247, 0.247, 0.000)
Al (0.666, 0.666, 0.333)
Al (0.334, 0.334, 0.667)
Ga (0.333, 0.833, 0.166)
Ga (0.167, 0.667, 0.834)
Ga (0.667, 0.167, 0.834)
Ga (0.833, 0.333, 0.166)
Ga (0.167, 0.167, 0.334)
Ga (0.833, 0.833, 0.666)

Properties
Energy of formation from the pure elements   -0.61 eV/atom
Symmetry   Fmmm (69)

Entry 9:
The following is a PBE calculation of a geometry-optimized TbAl2Ga structure, from Alexandria.

Lattice parameters (Å, degrees): 4.331 4.243 4.243 90.00 90.00 90.00
Fractional positions:
Tb (0.500, 0.500, 0.500)
Al (0.000, 0.000, 0.500)
Al (0.000, 0.500, 0.000)
Ga (0.500, 0.000, 0.000)

Properties
Energy of formation from the pure elements   -0.45 eV/atom
Symmetry   P4/mmm (123)

Entry 10:
The following is a PBE calculation of a geometry-optimized Tb4Al3Ga structure, from Alexandria.

Lattice parameters (Å, degrees): 3.607 3.607 14.466 90.00 90.00 90.00
Fractional positions:
Tb (0.000, 0.000, 0.877)
Tb (0.000, 0.000, 0.123)
Tb (0.000, 0.000, 0.375)
Tb (0.000, 0.000, 0.625)
Al (0.500, 0.500, 0.250)
Al (0.500, 0.500, 0.500)
Al (0.500, 0.500, 0.750)
Ga (0.500, 0.500, 0.000)

Properties
Energy of formation from the pure elements   -0.44 eV/atom
Symmetry   P4/mmm (123)